{
  "formula": "LiRe3Ni",
  "functional": "PBE",
  "state": "optimized geometry",
  "lattice_angstrom": [[4.452, 0.000, 0.000], [0.000, 4.452, 0.000], [0.000, 0.000, 4.452]],
  "species": ["Li", "Re", "Re", "Re", "Ni"],
  "frac_coords": [[0.000, 0.000, 0.000], [0.000, 0.500, 0.500], [0.500, 0.000, 0.500], [0.500, 0.500, 0.000], [0.500, 0.500, 0.500]],
  "total_magnetization_mub_per_fu": 0.00
}


{
  "formula": "LiReNi3",
  "functional": "PBE",
  "state": "optimized geometry",
  "lattice_angstrom": [[3.884, 0.000, 0.000], [0.000, 3.884, 0.000], [0.000, 0.000, 3.884]],
  "species": ["Li", "Re", "Ni", "Ni", "Ni"],
  "frac_coords": [[0.000, 0.000, 0.000], [0.500, 0.500, 0.500], [0.000, 0.000, 0.500], [0.000, 0.500, 0.000], [0.500, 0.000, 0.000]],
  "total_magnetization_mub_per_fu": 3.68
}


{
  "formula": "LiRe3Ni",
  "functional": "PBE",
  "state": "optimized geometry",
  "lattice_angstrom": [[4.080, 0.000, 0.000], [0.000, 4.080, 0.000], [0.000, 0.000, 4.080]],
  "species": ["Li", "Re", "Re", "Re", "Ni"],
  "frac_coords": [[0.000, 0.000, 0.000], [0.000, 0.000, 0.500], [0.000, 0.500, 0.000], [0.500, 0.000, 0.000], [0.500, 0.500, 0.500]],
  "total_magnetization_mub_per_fu": 0.00
}


{
  "formula": "LiRe2Ni",
  "functional": "PBE",
  "state": "optimized geometry",
  "lattice_angstrom": [[3.617, 0.000, 0.000], [0.000, 3.617, 0.000], [0.000, 0.000, 8.032]],
  "species": ["Li", "Li", "Re", "Re", "Re", "Re", "Ni", "Ni"],
  "frac_coords": [[0.000, 0.000, 0.000], [0.500, 0.500, 0.500], [0.000, 0.500, 0.250], [0.000, 0.500, 0.750], [0.500, 0.000, 0.250], [0.500, 0.000, 0.750], [0.000, 0.000, 0.500], [0.500, 0.500, 0.000]],
  "total_magnetization_mub_per_fu": 0.00
}


Number 1: ΔE_f 173.9 kJ/mol of atoms. Number 2: ΔE_f 82.1 kJ/mol of atoms. Number 3: ΔE_f 136.5 kJ/mol of atoms. Number 4: ΔE_f 21.6 kJ/mol of atoms.